Computed, not measured: a geometry-optimized BeIrI structure at the PBE level of DFT.

The value obtained for the total moment is 0.00 μB/cell. The density of states at the Fermi level comes out at 3.10 states/eV/cell. Its excess energy over the best structure of this formula in the dataset is 0.35 eV per formula unit.

The structure belongs to space group P1 (No. 1); the cell edges are 3.874, 3.938 and 9.063 Å and the angles 101.74°, 95.39° and 90.85°. The distinct sites, in fractional coordinates, are Be at (0.000, 0.000, 0.000), Be at (0.461, 0.413, 0.996), Ir at (0.442, 0.859, 0.830), Ir at (0.931, 0.420, 0.863), I at (0.335, 0.282, 0.243) and I at (0.912, 0.903, 0.620).